Compound: ScReNi4
Source: Alexandria
Functional: PBE
Structure: relaxed

It has space group F-43m (No. 216), with a = 6.763 Å, b = 6.763 Å, c = 6.763 Å, α = 90.00°, β = 90.00° and γ = 90.00°. The asymmetric unit holds Sc at (0.000, 0.000, 0.000), Re at (0.250, 0.250, 0.250) and Ni at (0.125, 0.125, 0.625).

The value obtained for the final energy is -7.097 eV per atom.

Compound: ScReNi2
Source: Alexandria
Functional: PBE
Structure: relaxed

It has space group R3m (No. 160, hexagonal axes), with a = 2.7979 Å, b = 2.7979 Å, c = 25.5079 Å, α = 90.00°, β = 90.00° and γ = 120.00°. The asymmetric unit holds Sc at (0.0000, 0.0000, 0.0000), Re at (0.0000, 0.0000, 0.2367), Ni at (0.0000, 0.0000, 0.4926) and Ni at (0.0000, 0.0000, 0.7495).

The value obtained for the distance to the lowest polymorph of the same formula is 0.343 eV/atom. The value obtained for the final energy is -7.380 eV per atom.

Compound: Sc2ReNi
Source: Alexandria
Functional: PBE
Structure: relaxed

It has space group P4mm (No. 99), with a = 2.907 Å, b = 2.907 Å, c = 8.312 Å, α = 90.00°, β = 90.00° and γ = 90.00°. The asymmetric unit holds Sc at (0.000, 0.000, 0.000), Sc at (0.500, 0.500, 0.343), Re at (0.500, 0.500, 0.750) and Ni at (0.000, 0.000, 0.566).

The value obtained for the final energy is -7.699 eV per atom.

> Which value of final energy does entry 3 give?

-7.699 eV per atom

> Among the records above, which one has the highest final energy?

ScReNi4